# Nd6Bi2Te3Se

A relaxed structure of Nd6Bi2Te3Se (GGA-PBE, the Alexandria database).

```
12
Lattice="4.483 0.000 0.000 0.000 9.003 0.300 -2.242 -2.614 9.490" Properties=species:S:1:pos:R:3 pbc="T T T"
Nd 0.000 6.503 6.843
Nd 2.242 4.388 3.315
Nd 2.242 -0.115 2.947
Nd 2.242 -0.587 9.521
Nd 0.000 6.976 0.270
Nd 0.000 2.001 6.475
Bi 2.242 4.255 6.536
Bi 0.000 2.133 3.254
Te 2.242 4.501 0.150
Te 2.242 -0.249 6.285
Te 0.000 6.638 3.506
Se 2.242 0.000 0.000
```

Properties
E_tot ... -5.448 eV/atom
Raw formation energy ... -1.341 eV per atom
D(E_F) ... 0.3261 states/eV/atom



# BaBiS4

A relaxed structure of BaBiS4 (GGA-PBE, the Alexandria database).

```
12
Lattice="0.078 -6.039 -4.566 8.090 1.295 1.101 -4.151 -0.991 6.180" Properties=species:S:1:pos:R:3 pbc="T T T"
Ba -2.073 -2.845 3.059
Ba 6.090 -2.891 -0.344
Bi 1.999 -0.846 1.822
Bi 2.018 -4.890 0.893
S 3.416 -1.054 5.982
S 0.499 -4.771 3.126
S 4.028 -5.193 -1.470
S -0.012 -0.543 4.185
S 3.968 -3.231 2.212
S 3.518 -0.965 -0.411
S 0.049 -2.505 0.503
S 0.601 -4.682 -3.267
```

Properties
E_tot ... -4.412 eV/atom
Raw formation energy ... -0.694 eV per atom
D(E_F) ... 0.2716 states/eV/atom



# KInHg2Te

A relaxed structure of KInHg2Te (GGA-PBE, the Alexandria database).

```
5
Lattice="5.681 0.000 0.000 0.000 5.681 0.000 0.000 0.000 6.082" Properties=species:S:1:pos:R:3 pbc="T T T"
K 2.840 2.840 3.041
Te 0.000 0.000 3.041
Hg 0.000 2.840 0.000
Hg 2.840 0.000 0.000
In 0.000 0.000 0.000
```

Properties
E_tot ... -1.781 eV/atom
Raw formation energy ... -0.265 eV per atom
D(E_F) ... 0.2658 states/eV/atom



# LaEuAlSn

A relaxed structure of LaEuAlSn (GGA-PBE, the Alexandria database).

```
4
Lattice="-3.930 0.793 3.716 -4.249 -3.429 0.259 -0.493 -3.426 4.230" Properties=species:S:1:pos:R:3 pbc="T T T"
Eu 0.000 0.000 0.000
Al -6.503 -4.547 6.154
Sn -2.168 -1.516 2.051
La -4.336 -3.032 4.102
```

Properties
E_tot ... -6.203 eV/atom
Calculated formation energy ... -466 meV/atom
D(E_F) ... 1.7694 states/eV/atom



# LaRuS2Cl

A relaxed structure of LaRuS2Cl (GGA-PBE, the Alexandria database).

```
5
Lattice="-1.098 2.349 -3.942 -3.243 -3.265 -1.041 -3.217 2.446 2.353" Properties=species:S:1:pos:R:3 pbc="T T T"
Ru 0.000 0.000 0.000
S -1.622 -1.632 -0.521
S -0.549 1.174 -1.971
Cl -1.609 1.223 1.177
La -3.779 0.765 -1.315
```

Properties
E_tot ... -5.754 eV/atom
Raw formation energy ... -0.893 eV per atom
Polymorph energy (0 for the lowest one) ... 0 meV/atom
D(E_F) ... 0.9457 states/eV/atom



# PmEr2Rh

A relaxed structure of PmEr2Rh (GGA-PBE, the Alexandria database).

```
4
Lattice="-2.694 -0.878 -2.008 0.125 -3.238 1.248 -5.463 2.237 6.354" Properties=species:S:1:pos:R:3 pbc="T T T"
Pm -4.016 -0.939 2.797
Rh -1.285 -2.058 -0.380
Er -4.442 1.819 5.167
Er -1.020 0.418 1.187
```

Properties
E_tot ... -5.755 eV/atom
Calculated formation energy ... -448 meV/atom
Polymorph energy (0 for the lowest one) ... 72 meV/atom
D(E_F) ... 1.1440 states/eV/atom



# Cd2CoRu

A relaxed structure of Cd2CoRu (GGA-PBE, the Alexandria database).

```
4
Lattice="-0.205 5.208 0.892 -4.109 2.642 -2.024 1.383 -3.969 3.208" Properties=species:S:1:pos:R:3 pbc="T T T"
Cd -4.262 7.756 -1.119
Cd -2.208 4.018 -0.580
Co -0.489 2.582 1.767
Ru -2.441 1.299 0.309
```

Properties
E_tot ... -4.123 eV/atom
Calculated formation energy ... 430 meV/atom
Polymorph energy (0 for the lowest one) ... 228 meV/atom
D(E_F) ... 0.8939 states/eV/atom



# NpZnW

A relaxed structure of NpZnW (GGA-PBE, the Alexandria database).

```
6
Lattice="-2.646 2.146 0.724 -1.928 -1.551 -2.451 -2.907 -5.537 5.790" Properties=species:S:1:pos:R:3 pbc="T T T"
W -2.531 -1.228 2.769
W -2.663 -4.010 2.158
Zn -3.418 -2.918 4.536
Zn -1.775 -2.321 0.390
Np -2.287 0.298 -0.864
Np 0.000 0.000 0.000
```

Properties
E_tot ... -8.540 eV/atom
Calculated formation energy ... 515 meV/atom
D(E_F) ... 1.1445 states/eV/atom